1.
Density functional theory data (PBE) for a relaxed TbZrCd crystal.

Geometry as POSCAR:
```
TbZrCd
1.0
3.770 0.000 0.000
0.000 3.770 0.000
0.000 0.000 23.926
Tb Zr Cd
4 4 4
Direct
0.000 0.000 0.140
0.000 0.000 0.860
0.500 0.500 0.360
0.500 0.500 0.640
0.000 0.000 0.277
0.000 0.000 0.723
0.500 0.500 0.223
0.500 0.500 0.777
0.000 0.000 0.441
0.000 0.000 0.559
0.500 0.500 0.059
0.500 0.500 0.941
```

Output
E_form (eV/atom): 0.033
Energy relative to the lowest polymorph listed for this composition (meV per atom): 151
D(E_F) (states/eV/f.u.): 3.25
DFT total energy (eV for the cell shown): -56.0
Crystal system: tetragonal

---

2.
Density functional theory data (PBE) for a relaxed MnTl2MoH crystal.

Geometry as POSCAR:
```
MnTl2MoH
1.0
5.342 0.000 0.000
0.000 5.342 0.000
0.000 0.000 3.103
Mn Tl Mo H
1 2 1 1
Direct
0.000 0.000 0.000
0.000 0.500 0.000
0.500 0.000 0.000
0.500 0.500 0.500
0.000 0.000 0.500
```

Output
D(E_F) (states/eV/f.u.): 2.77
DFT total energy (eV for the cell shown): -24.0
Crystal system: tetragonal

---

3.
Density functional theory data (PBE) for a relaxed Pr6Te3SeS2 crystal.

Geometry as POSCAR:
```
Pr6Te3SeS2
1.0
3.731 -6.468 0.000
3.731 6.468 0.000
-2.488 0.000 7.237
Pr Te Se S
6 3 1 2
Direct
0.084 0.429 0.788
0.224 0.224 0.208
0.429 0.084 0.788
0.571 0.916 0.212
0.776 0.776 0.792
0.916 0.571 0.212
0.000 0.000 0.500
0.337 0.663 0.500
0.663 0.337 0.500
0.500 0.500 0.000
0.167 0.833 0.000
0.833 0.167 0.000
```

Output
D(E_F) (states/eV/f.u.): 4.19
DFT total energy (eV for the cell shown): -70.4
ΔE_f (raw) (meV/atom): -1715
Crystal system: monoclinic

---

4.
Density functional theory data (PBE) for a relaxed Cd5Sn crystal.

Geometry as POSCAR:
```
Cd5Sn
1.0
10.298 0.000 0.000
0.000 4.710 0.000
-1.890 0.000 5.882
Cd Sn
10 2
Direct
0.000 0.000 0.000
0.163 0.500 0.328
0.175 0.500 0.835
0.325 0.000 0.165
0.337 0.000 0.672
0.500 0.500 0.000
0.663 0.000 0.328
0.675 0.000 0.835
0.825 0.500 0.165
0.837 0.500 0.672
0.000 0.000 0.500
0.500 0.500 0.500
```

Output
E_form (eV/atom): 0.026
Energy relative to the lowest polymorph listed for this composition (meV per atom): 0
D(E_F) (states/eV/f.u.): 2.24
DFT total energy (eV for the cell shown): -16.8
Crystal system: monoclinic

---

5.
Density functional theory data (PBE) for a relaxed ZnTcRh2 crystal.

Geometry as POSCAR:
```
ZnTcRh2
1.0
2.769 0.000 0.000
-1.384 2.398 0.000
0.000 0.000 25.718
Zn Tc Rh
3 3 6
Direct
0.000 0.000 0.000
0.333 0.667 0.667
0.667 0.333 0.333
0.000 0.000 0.500
0.333 0.667 0.167
0.667 0.333 0.833
0.000 0.000 0.250
0.000 0.000 0.750
0.333 0.667 0.417
0.333 0.667 0.916
0.667 0.333 0.084
0.667 0.333 0.583
```

Output
E_form (eV/atom): -0.158
D(E_F) (states/eV/f.u.): 3.70
DFT total energy (eV for the cell shown): -80.9
Crystal system: trigonal

---

6.
Density functional theory data (PBE) for a relaxed Ba4TePI2 crystal.

Geometry as POSCAR:
```
Ba4TePI2
1.0
8.539 0.000 0.000
0.000 4.859 0.000
-2.783 0.000 8.250
Ba Te P I
4 1 1 2
Direct
0.218 0.000 0.208
0.240 0.500 0.782
0.760 0.500 0.218
0.782 0.000 0.792
0.500 0.000 0.000
0.000 0.500 0.000
0.000 0.000 0.500
0.500 0.500 0.500
```

Output
D(E_F) (states/eV/f.u.): 3.48
DFT total energy (eV for the cell shown): -31.4
ΔE_f (raw) (meV/atom): -1510
Crystal system: monoclinic